1.
{"formula": "CePrPa2Sb4", "functional": "GGA-PBE", "state": "optimized geometry", "m_tot_mub_per_atom": 0.3197, "formation_energy_uncorrected_ev_per_atom": -0.771, "cell": [[7.686, 0.000, 0.000], [0.000, 4.435, 0.000], [-2.560, 0.000, 7.307]], "species": ["Ce", "Pr", "Pa", "Pa", "Sb", "Sb", "Sb", "Sb"], "frac_coords": [[0.000, 0.000, 0.000], [0.500, 0.500, 0.000], [0.000, 0.500, 0.500], [0.500, 0.000, 0.500], [0.245, 0.000, 0.740], [0.251, 0.500, 0.259], [0.749, 0.500, 0.741], [0.755, 0.000, 0.260]]}

***

2.
{"formula": "RbGa3", "functional": "GGA-PBE", "state": "optimized geometry", "m_tot_mub_per_atom": 0.0000, "e_form_ev_per_fu": 0.10, "cell": [[3.262, 0.000, 0.000], [0.000, 4.311, 0.000], [0.000, 0.000, 7.838]], "species": ["Rb", "Ga", "Ga", "Ga"], "frac_coords": [[0.000, 0.000, 0.000], [0.000, 0.500, 0.634], [0.500, 0.000, 0.508], [0.500, 0.500, 0.311]]}

***

3.
{"formula": "CsK2Pb2", "functional": "GGA-PBE", "state": "optimized geometry", "m_tot_mub_per_atom": 0.0000, "polymorph_energy_mev_per_atom": 10, "e_form_ev_per_fu": -0.57, "cell": [[5.584, -3.244, 0.000], [5.584, 3.244, 0.000], [-3.562, 0.000, 6.491]], "species": ["Cs", "K", "K", "Pb", "Pb"], "frac_coords": [[0.000, 0.000, 0.000], [0.231, 0.231, 0.685], [0.769, 0.769, 0.315], [0.422, 0.422, 0.277], [0.578, 0.578, 0.723]]}